Entry 1:
Material: BePtSeBr2
Method: DFT, GGA-PBEsol
State: relaxed

Properties
Energy = -15.82 eV per cell
ΔE_f (raw) = 2.74 eV per formula unit
Magnetic moment = 0.002 μB/cell

abc: 4.4745 4.4745 4.7835
angles: 90.00 90.00 90.00
Fractional coordinates of all 5 atoms:
1 Be 0.0000 0.0000 0.0000
2 Pt 0.5000 0.5000 0.5000
3 Se 0.0000 0.0000 0.5000
4 Br 0.0000 0.5000 0.0000
5 Br 0.5000 0.0000 0.0000

---

Entry 2:
Material: RbAlSi3O8
Method: DFT, GGA-PBEsol
State: relaxed

Properties
Energy = -202.18 eV per cell
ΔE_f (raw) = -36.74 eV per formula unit
ΔE to the lowest computed polymorph = 0 kJ/mol of formula units
Magnetic moment = 0.001 μB/cell

abc: 7.2994 7.7428 8.0176
angles: 111.66 104.57 104.01
Fractional coordinates of all 26 atoms:
1 Rb 0.1396 0.2950 0.2843
2 Rb 0.8604 0.7050 0.7157
3 Al 0.2169 0.8196 0.2024
4 Al 0.7831 0.1804 0.7976
5 Si 0.2326 0.1968 0.8273
6 Si 0.3400 0.5989 0.8426
7 Si 0.3513 0.8330 0.6016
8 Si 0.6487 0.1670 0.3984
9 Si 0.6600 0.4011 0.1574
10 Si 0.7674 0.8032 0.1727
11 O 0.0175 0.1493 0.8525
12 O 0.2191 0.6662 0.9802
13 O 0.2396 0.9876 0.6847
14 O 0.2553 0.7223 0.3677
15 O 0.2727 0.3543 0.7365
16 O 0.2816 0.6517 0.6614
17 O 0.4042 0.0594 0.3040
18 O 0.4118 0.2968 0.0436
19 O 0.5882 0.7032 0.9564
20 O 0.5958 0.9406 0.6960
21 O 0.7184 0.3483 0.3386
22 O 0.7273 0.6457 0.2636
23 O 0.7447 0.2777 0.6323
24 O 0.7604 0.0124 0.3153
25 O 0.7809 0.3338 0.0198
26 O 0.9825 0.8507 0.1475

---

Entry 3:
Material: La2TaPb2
Method: DFT, GGA-PBEsol
State: relaxed

Properties
Energy = -56.41 eV per cell
Magnetic moment = 0.000 μB/cell

abc: 4.1718 4.1718 15.4268
angles: 90.00 90.00 90.00
Fractional coordinates of all 10 atoms:
1 La 0.0000 0.5000 0.2500
2 La 0.0000 0.5000 0.7500
3 La 0.5000 0.0000 0.2500
4 La 0.5000 0.0000 0.7500
5 Ta 0.0000 0.0000 0.0000
6 Ta 0.5000 0.5000 0.5000
7 Pb 0.0000 0.0000 0.4101
8 Pb 0.0000 0.0000 0.5899
9 Pb 0.5000 0.5000 0.0899
10 Pb 0.5000 0.5000 0.9101

---

Entry 4:
Material: MgReRh
Method: DFT, GGA-PBEsol
State: relaxed

Properties
Energy = -22.54 eV per cell
Magnetic moment = 0.000 μB/cell

abc: 4.3388 4.3388 2.6914
angles: 90.00 90.00 120.00
Fractional coordinates of all 3 atoms:
1 Mg 0.0000 0.0000 0.0000
2 Re 0.6667 0.3333 0.3910
3 Rh 0.3333 0.6667 0.7150

---

Entry 5:
Material: SrHN
Method: DFT, GGA-PBEsol
State: relaxed

Properties
Energy = -63.90 eV per cell
Magnetic moment = 0.000 μB/cell

abc: 5.1596 6.2933 5.4278
angles: 90.00 90.00 90.00
Fractional coordinates of all 12 atoms:
1 Sr 0.0000 0.1887 0.2500
2 Sr 0.0000 0.8113 0.7500
3 Sr 0.5000 0.3113 0.7500
4 Sr 0.5000 0.6887 0.2500
5 H 0.0000 0.3617 0.7500
6 H 0.0000 0.6383 0.2500
7 H 0.5000 0.1383 0.2500
8 H 0.5000 0.8617 0.7500
9 N 0.0000 0.1954 0.7500
10 N 0.0000 0.8046 0.2500
11 N 0.5000 0.3046 0.2500
12 N 0.5000 0.6954 0.7500

---

Entry 6:
Material: MgOs2
Method: DFT, GGA-PBEsol
State: relaxed

Properties
Energy = -50.25 eV per cell
Magnetic moment = 0.000 μB/cell

abc: 5.1615 5.1615 5.1615
angles: 60.00 60.00 60.00
Fractional coordinates of all 6 atoms:
1 Mg 0.1250 0.1250 0.1250
2 Mg 0.8750 0.8750 0.8750
3 Os 0.0000 0.5000 0.5000
4 Os 0.5000 0.0000 0.5000
5 Os 0.5000 0.5000 0.0000
6 Os 0.5000 0.5000 0.5000

---

Entry 7:
Material: Zr4SiSe
Method: DFT, GGA-PBEsol
State: relaxed

Properties
Energy = -44.86 eV per cell
ΔE_f (raw) = 1.10 eV per formula unit
Magnetic moment = 0.000 μB/cell

abc: 5.5828 5.5828 5.5828
angles: 60.00 60.00 60.00
Fractional coordinates of all 6 atoms:
1 Zr 0.1239 0.1239 0.1239
2 Zr 0.1239 0.1239 0.6284
3 Zr 0.1239 0.6284 0.1239
4 Zr 0.6284 0.1239 0.1239
5 Si 0.7500 0.7500 0.7500
6 Se 0.5000 0.5000 0.5000

---

Entry 8:
Material: SrBeAs
Method: DFT, GGA-PBEsol
State: relaxed

Properties
Energy = -12.97 eV per cell
Magnetic moment = 0.001 μB/cell

abc: 3.9153 3.9153 4.5932
angles: 90.00 90.00 120.00
Fractional coordinates of all 3 atoms:
1 Sr 0.0000 0.0000 0.0000
2 Be 0.6667 0.3333 0.5000
3 As 0.3333 0.6667 0.5000